(1)
CsKO3: optimized geometry, GGA-PBE.

Unit cell a=4.7953 b=4.7953 c=4.7953 alpha=90.00 beta=90.00 gamma=90.00
Closest atoms and distances in Å follow each position.
Fractional coordinates of all 5 atoms:
Cs1 0.5000 0.5000 0.5000  12 O 3.39
O1 0.5000 0.0000 0.0000  2 K 2.40
O2 0.0000 0.5000 0.0000  2 K 2.40
O3 0.0000 0.0000 0.5000  2 K 2.40
K1 0.0000 0.0000 0.0000  6 O 2.40

Results
- space group = No. 221



(2)
PrErSe2: optimized geometry, GGA-PBE.

Unit cell a=4.0874 b=4.0874 c=7.3818 alpha=73.88 beta=73.88 gamma=60.14
Closest atoms and distances in Å follow each position.
Fractional coordinates of all 4 atoms:
Se1 0.2572 0.2572 0.2282  3 Er 2.85, 3 Pr 3.03
Se2 0.7428 0.7428 0.7718  3 Er 2.85, 3 Pr 3.03
Er1 0.0000 0.0000 0.0000  6 Se 2.85
Pr1 0.5000 0.5000 0.5000  6 Se 3.03

Results
- energy relative to the lowest polymorph listed for this composition (meV per atom) = 0
- space group = No. 12



| no. | M_tot (Bohr magnetons per cell) | ΔE_f (raw) (kJ per mole of atoms) | volume (A^3/atom) |
| --- | --- | --- | --- |
| 1 | 4.000 | 7.7 | 22.05 |
| 2 | 0.000 | -171.9 | 25.33 |